No. 1
# KLiPaI6 (PBE, optimized geometry)
# formation energy from raw total energies: -1134 meV/atom
data_KLiPaI6
_cell_length_a 7.8244
_cell_length_b 7.8244
_cell_length_c 15.7320
_cell_angle_alpha 90.00
_cell_angle_beta 90.00
_cell_angle_gamma 120.00
_space_group_name_H-M_alt 'P -3 1 c'
_space_group_IT_number 163
_space_group_name_Hall '-P 3 2c'
loop_
_atom_site_label
_atom_site_type_symbol
_atom_site_fract_x
_atom_site_fract_y
_atom_site_fract_z
_atom_site_occupancy
K1 K 0.0000 0.0000 0.0000 1
Li1 Li 0.3333 0.6667 0.2500 1
Pa1 Pa 0.3333 0.6667 0.7500 1
I1 I 0.0000 0.3645 0.1388 1

***

No. 2
# Mg11Cd9Sn4 (PBE, optimized geometry)
# E_form: -0.05 eV per atom
data_Mg11Cd9Sn4
_cell_length_a 14.0061
_cell_length_b 19.4257
_cell_length_c 4.1236
_cell_angle_alpha 90.00
_cell_angle_beta 90.00
_cell_angle_gamma 90.00
_space_group_name_H-M_alt 'C m m m'
_space_group_IT_number 65
_space_group_name_Hall '-C 2 2'
loop_
_atom_site_label
_atom_site_type_symbol
_atom_site_fract_x
_atom_site_fract_y
_atom_site_fract_z
_atom_site_occupancy
Mg1 Mg 0.0000 0.0000 0.0000 1
Mg2 Mg 0.0000 0.1718 0.0000 1
Mg3 Mg 0.0000 0.3462 0.0000 1
Mg4 Mg 0.2335 0.1719 0.0000 1
Mg5 Mg 0.2368 0.0000 0.0000 1
Cd1 Cd 0.0000 0.5000 0.5000 1
Cd2 Cd 0.1140 0.0853 0.5000 1
Cd3 Cd 0.1175 0.2528 0.5000 1
Sn1 Sn 0.1567 0.4066 0.5000 1

***

No. 3
# SrTcAu2 (PBE, optimized geometry)
# offset from the most stable computed form: 352 meV per atom
# E_form: 0.39 eV per atom
data_SrTcAu2
_cell_length_a 6.9786
_cell_length_b 6.9786
_cell_length_c 6.9786
_cell_angle_alpha 90.00
_cell_angle_beta 90.00
_cell_angle_gamma 90.00
_space_group_name_H-M_alt 'F -4 3 m'
_space_group_IT_number 216
_space_group_name_Hall 'F -4 2 3'
loop_
_atom_site_label
_atom_site_type_symbol
_atom_site_fract_x
_atom_site_fract_y
_atom_site_fract_z
_atom_site_occupancy
Sr1 Sr 0.0000 0.0000 0.0000 1
Tc1 Tc 0.2500 0.2500 0.2500 1
Au1 Au 0.0000 0.0000 0.5000 1
Au2 Au 0.2500 0.2500 0.7500 1

***

Please write out number 2 again, unchanged.
# Mg11Cd9Sn4 (PBE, optimized geometry)
# E_form: -0.05 eV per atom
data_Mg11Cd9Sn4
_cell_length_a 14.0061
_cell_length_b 19.4257
_cell_length_c 4.1236
_cell_angle_alpha 90.00
_cell_angle_beta 90.00
_cell_angle_gamma 90.00
_space_group_name_H-M_alt 'C m m m'
_space_group_IT_number 65
_space_group_name_Hall '-C 2 2'
loop_
_atom_site_label
_atom_site_type_symbol
_atom_site_fract_x
_atom_site_fract_y
_atom_site_fract_z
_atom_site_occupancy
Mg1 Mg 0.0000 0.0000 0.0000 1
Mg2 Mg 0.0000 0.1718 0.0000 1
Mg3 Mg 0.0000 0.3462 0.0000 1
Mg4 Mg 0.2335 0.1719 0.0000 1
Mg5 Mg 0.2368 0.0000 0.0000 1
Cd1 Cd 0.0000 0.5000 0.5000 1
Cd2 Cd 0.1140 0.0853 0.5000 1
Cd3 Cd 0.1175 0.2528 0.5000 1
Sn1 Sn 0.1567 0.4066 0.5000 1